A plane-wave DFT calculation with PBE was carried out for crystalline BaPdW at its relaxed geometry.

Cell lengths 6.025, 6.025, 6.025 Å; angles 114.08, 86.83, 130.34 degrees
Positions (direct):
Ba (0.121, 0.250, 0.371)
Ba (0.879, 0.750, 0.629)
Pd (0.491, 0.491, 0.000)
Pd (0.491, 0.991, 0.500)
W (0.447, 0.914, 0.033)
W (0.881, 0.414, 0.967)

Results
- Spin magnetization: 0.00 μB per atom
- E: -6.285 eV per atom
- SG: Ima2
- Volume: 145.19 Å³/cell
- Offset from the most stable computed form: 0.150 eV/atom
- Calculated formation energy: 0.405 eV per atom

---

A plane-wave DFT calculation with PBE was carried out for crystalline Ba2PdW at its relaxed geometry.

Cell lengths 7.035, 7.035, 7.035 Å; angles 102.85, 102.85, 123.73 degrees
Positions (direct):
Ba (0.096, 0.625, 0.971)
Ba (0.375, 0.346, 0.471)
Ba (0.654, 0.125, 0.029)
Ba (0.875, 0.904, 0.529)
Pd (0.000, 0.000, 0.000)
Pd (0.750, 0.250, 0.500)
W (0.250, 0.750, 0.500)
W (0.500, 0.500, 0.000)

Results
- Spin magnetization: 0.95 μB per atom
- E: -4.424 eV per atom
- SG: I-42d
- Volume: 255.33 Å³/cell
- Offset from the most stable computed form: 0.136 eV/atom
- Calculated formation energy: 1.074 eV per atom

---

A plane-wave DFT calculation with PBE was carried out for crystalline BaPdW at its relaxed geometry.

Cell lengths 3.211, 5.177, 9.316 Å; angles 73.88, 86.42, 77.29 degrees
Positions (direct):
Ba (0.007, 0.321, 0.358)
Ba (0.993, 0.679, 0.642)
Pd (0.498, 0.100, 0.804)
Pd (0.502, 0.900, 0.196)
W (0.182, 0.695, 0.999)
W (0.818, 0.305, 0.001)

Results
- Spin magnetization: 0.00 μB per atom
- E: -6.322 eV per atom
- SG: P-1
- Volume: 145.14 Å³/cell
- Offset from the most stable computed form: 0.112 eV/atom
- Calculated formation energy: 0.367 eV per atom

---

A plane-wave DFT calculation with PBE was carried out for crystalline BaPdW at its relaxed geometry.

Cell lengths 3.305, 5.579, 8.882 Å; angles 95.00, 90.09, 107.20 degrees
Positions (direct):
Ba (0.000, 0.000, 0.000)
Ba (0.226, 0.452, 0.659)
Pd (0.287, 0.577, 0.206)
Pd (0.490, 0.978, 0.635)
W (0.609, 0.219, 0.329)
W (0.941, 0.883, 0.390)

Results
- Spin magnetization: 0.00 μB per atom
- E: -6.327 eV per atom
- SG: P1
- Volume: 155.77 Å³/cell
- Offset from the most stable computed form: 0.107 eV/atom
- Calculated formation energy: 0.362 eV per atom

---

A plane-wave DFT calculation with PBE was carried out for crystalline BaY2Pd2 at its relaxed geometry.

Cell lengths 7.122, 7.122, 7.122 Å; angles 140.42, 140.42, 57.22 degrees
Positions (direct):
Ba (0.000, 0.000, 0.000)
Y (0.250, 0.750, 0.500)
Y (0.750, 0.250, 0.500)
Pd (0.384, 0.384, 0.000)
Pd (0.616, 0.616, 0.000)

Results
- Spin magnetization: 0.00 μB per atom
- E: -5.607 eV per atom
- SG: I4/mmm
- Volume: 145.41 Å³/cell
- Offset from the most stable computed form: 0.000 eV/atom
- Calculated formation energy: -0.560 eV per atom

---

A plane-wave DFT calculation with PBE was carried out for crystalline BaYPd4 at its relaxed geometry.

Cell lengths 5.595, 5.595, 5.595 Å; angles 60.00, 60.00, 60.00 degrees
Positions (direct):
Ba (0.000, 0.000, 0.000)
Y (0.250, 0.250, 0.250)
Pd (0.127, 0.624, 0.624)
Pd (0.624, 0.127, 0.624)
Pd (0.624, 0.624, 0.127)
Pd (0.624, 0.624, 0.624)

Results
- Spin magnetization: 0.00 μB per atom
- E: -5.439 eV per atom
- SG: F-43m
- Volume: 123.84 Å³/cell
- Calculated formation energy: -0.580 eV per atom